Record 1
Density functional theory data (meta-GGA SCAN) for a crystal of AsAuBr2F relaxed with PBEsol.

a = 4.9005 Å, b = 5.1314 Å, c = 5.1314 Å
α = 90.00°, β = 90.00°, γ = 90.00°
Sites, in units of the cell vectors:
As: 0.5000 0.0000 0.0000
Au: 0.0000 0.0000 0.0000
Br: 0.0000 0.0000 0.5000
Br: 0.0000 0.5000 0.0000
F: 0.5000 0.5000 0.5000

* uncorrected formation energy: 0.3542 eV per atom
* ΔE to the lowest computed polymorph: 0.52 eV per formula unit

=====

Record 2
Density functional theory data (meta-GGA SCAN) for a crystal of InAs2AuBr relaxed with PBEsol.

a = 4.9718 Å, b = 4.9718 Å, c = 5.4598 Å
α = 90.00°, β = 90.00°, γ = 90.00°
Sites, in units of the cell vectors:
As: 0.0000 0.5000 0.0000
As: 0.5000 0.0000 0.0000
Au: 0.0000 0.0000 0.0000
Br: 0.0000 0.0000 0.5000
In: 0.5000 0.5000 0.5000

* uncorrected formation energy: 0.4435 eV per atom

=====

Record 3
Density functional theory data (meta-GGA SCAN) for a crystal of NaAsAuBr2 relaxed with PBEsol.

a = 4.8564 Å, b = 5.5047 Å, c = 5.5047 Å
α = 90.00°, β = 90.00°, γ = 90.00°
Sites, in units of the cell vectors:
Na: 0.5000 0.5000 0.5000
As: 0.5000 0.0000 0.0000
Au: 0.0000 0.0000 0.0000
Br: 0.0000 0.0000 0.5000
Br: 0.0000 0.5000 0.0000

* uncorrected formation energy: -0.2037 eV per atom

=====

Record 4
Density functional theory data (meta-GGA SCAN) for a crystal of NaAs2AuBr relaxed with PBEsol.

a = 4.8466 Å, b = 4.8466 Å, c = 6.3879 Å
α = 90.00°, β = 90.00°, γ = 90.00°
Sites, in units of the cell vectors:
Na: 0.5000 0.5000 0.5000
As: 0.0000 0.5000 0.0000
As: 0.5000 0.0000 0.0000
Au: 0.0000 0.0000 0.0000
Br: 0.0000 0.0000 0.5000

* uncorrected formation energy: 0.0931 eV per atom

=====

Record 5
Density functional theory data (meta-GGA SCAN) for a crystal of NiAs2AuBr relaxed with PBEsol.

a = 4.5255 Å, b = 4.5255 Å, c = 4.8656 Å
α = 90.00°, β = 90.00°, γ = 90.00°
Sites, in units of the cell vectors:
Ni: 0.0000 0.0000 0.0000
As: 0.0000 0.5000 0.0000
As: 0.5000 0.0000 0.0000
Au: 0.5000 0.5000 0.5000
Br: 0.0000 0.0000 0.5000

* uncorrected formation energy: 0.5652 eV per atom

=====

Record 6
Density functional theory data (meta-GGA SCAN) for a crystal of As2AuBrO relaxed with PBEsol.

a = 4.0522 Å, b = 4.0522 Å, c = 5.9974 Å
α = 90.00°, β = 90.00°, γ = 90.00°
Sites, in units of the cell vectors:
As: 0.0000 0.5000 0.0000
As: 0.5000 0.0000 0.0000
Au: 0.5000 0.5000 0.5000
O: 0.0000 0.0000 0.0000
Br: 0.0000 0.0000 0.5000

* uncorrected formation energy: 0.4748 eV per atom
* ΔE to the lowest computed polymorph: 0.00 eV per formula unit

=====

Record 7
Density functional theory data (meta-GGA SCAN) for a crystal of As2AuBrO relaxed with PBEsol.

a = 4.9407 Å, b = 4.9407 Å, c = 5.2059 Å
α = 90.00°, β = 90.00°, γ = 90.00°
Sites, in units of the cell vectors:
As: 0.0000 0.5000 0.0000
As: 0.5000 0.0000 0.0000
Au: 0.0000 0.0000 0.0000
O: 0.5000 0.5000 0.5000
Br: 0.0000 0.0000 0.5000

* uncorrected formation energy: 1.1273 eV per atom
* ΔE to the lowest computed polymorph: 3.26 eV per formula unit

=====

Record 8
Density functional theory data (meta-GGA SCAN) for a crystal of Rb2AsAuBr6 relaxed with PBEsol.

a = 7.5738 Å, b = 7.5738 Å, c = 7.5738 Å
α = 60.00°, β = 60.00°, γ = 60.00°
Sites, in units of the cell vectors:
As: 0.0000 0.0000 0.0000
Au: 0.5000 0.5000 0.5000
Br: 0.7530 0.2470 0.2470
Br: 0.7530 0.7530 0.2470
Br: 0.2470 0.7530 0.7530
Br: 0.7530 0.2470 0.7530
Br: 0.2470 0.7530 0.2470
Br: 0.2470 0.2470 0.7530
Rb: 0.7500 0.7500 0.7500
Rb: 0.2500 0.2500 0.2500

* uncorrected formation energy: -0.9708 eV per atom

=====

Record 9
Density functional theory data (meta-GGA SCAN) for a crystal of SbAsAuBr2 relaxed with PBEsol.

a = 5.2948 Å, b = 5.2948 Å, c = 5.5829 Å
α = 90.00°, β = 90.00°, γ = 90.00°
Sites, in units of the cell vectors:
Sb: 0.0000 0.0000 0.0000
As: 0.0000 0.0000 0.5000
Au: 0.5000 0.5000 0.5000
Br: 0.0000 0.5000 0.0000
Br: 0.5000 0.0000 0.0000

* uncorrected formation energy: 0.6148 eV per atom

=====

Record 10
Density functional theory data (meta-GGA SCAN) for a crystal of ScAs2AuBr relaxed with PBEsol.

a = 4.9353 Å, b = 5.1171 Å, c = 5.1171 Å
α = 90.00°, β = 90.00°, γ = 90.00°
Sites, in units of the cell vectors:
Sc: 0.0000 0.0000 0.0000
As: 0.0000 0.0000 0.5000
As: 0.0000 0.5000 0.0000
Au: 0.5000 0.5000 0.5000
Br: 0.5000 0.0000 0.0000

* uncorrected formation energy: 0.1987 eV per atom

=====

Record 11
Density functional theory data (meta-GGA SCAN) for a crystal of AsAuSe2Br relaxed with PBEsol.

a = 4.9794 Å, b = 4.9794 Å, c = 5.0969 Å
α = 90.00°, β = 90.00°, γ = 90.00°
Sites, in units of the cell vectors:
As: 0.0000 0.0000 0.5000
Au: 0.0000 0.0000 0.0000
Se: 0.0000 0.5000 0.0000
Se: 0.5000 0.0000 0.0000
Br: 0.5000 0.5000 0.5000

* uncorrected formation energy: 0.7141 eV per atom
* ΔE to the lowest computed polymorph: 0.00 eV per formula unit

=====

Record 12
Density functional theory data (meta-GGA SCAN) for a crystal of AsAuSe2Br relaxed with PBEsol.

a = 4.9943 Å, b = 4.9943 Å, c = 5.1013 Å
α = 90.00°, β = 90.00°, γ = 90.00°
Sites, in units of the cell vectors:
As: 0.0000 0.0000 0.5000
Au: 0.5000 0.5000 0.5000
Se: 0.0000 0.5000 0.0000
Se: 0.5000 0.0000 0.0000
Br: 0.0000 0.0000 0.0000

* uncorrected formation energy: 1.3275 eV per atom
* ΔE to the lowest computed polymorph: 3.07 eV per formula unit

=====

Record 13
Density functional theory data (meta-GGA SCAN) for a crystal of SrAs2AuBr relaxed with PBEsol.

a = 5.5086 Å, b = 5.7584 Å, c = 5.7584 Å
α = 90.00°, β = 90.00°, γ = 90.00°
Sites, in units of the cell vectors:
Sr: 0.0000 0.0000 0.0000
As: 0.0000 0.0000 0.5000
As: 0.0000 0.5000 0.0000
Au: 0.5000 0.5000 0.5000
Br: 0.5000 0.0000 0.0000

* uncorrected formation energy: 0.7294 eV per atom

=====

Record 14
Density functional theory data (meta-GGA SCAN) for a crystal of TcAs2AuBr relaxed with PBEsol.

a = 4.6627 Å, b = 4.6627 Å, c = 5.1800 Å
α = 90.00°, β = 90.00°, γ = 90.00°
Sites, in units of the cell vectors:
As: 0.0000 0.5000 0.0000
As: 0.5000 0.0000 0.0000
Au: 0.5000 0.5000 0.5000
Tc: 0.0000 0.0000 0.0000
Br: 0.0000 0.0000 0.5000

* uncorrected formation energy: 0.5765 eV per atom

=====

Record 15
Density functional theory data (meta-GGA SCAN) for a crystal of TeAs2AuBr relaxed with PBEsol.

a = 4.9643 Å, b = 5.0440 Å, c = 5.0440 Å
α = 90.00°, β = 90.00°, γ = 90.00°
Sites, in units of the cell vectors:
As: 0.0000 0.0000 0.5000
As: 0.0000 0.5000 0.0000
Te: 0.5000 0.5000 0.5000
Au: 0.0000 0.0000 0.0000
Br: 0.5000 0.0000 0.0000

* uncorrected formation energy: 0.6061 eV per atom

=====

Record 16
Density functional theory data (meta-GGA SCAN) for a crystal of RbAsAu2C relaxed with PBEsol.

a = 6.0429 Å, b = 6.0429 Å, c = 6.4697 Å
α = 90.00°, β = 90.00°, γ = 90.00°
Sites, in units of the cell vectors:
As: 0.0000 0.0000 0.5000
Au: 0.0000 0.5000 0.0000
Au: 0.5000 0.0000 0.0000
C: 0.5000 0.5000 0.5000
Rb: 0.0000 0.0000 0.0000

* energy of formation from the pure elements: 2.74 eV/atom

=====

Record 17
Density functional theory data (meta-GGA SCAN) for a crystal of CaAs2Au relaxed with PBEsol.

a = 4.5776 Å, b = 4.5776 Å, c = 9.5929 Å
α = 103.80°, β = 103.80°, γ = 90.00°
Sites, in units of the cell vectors:
As: 0.2648 0.8750 0.2500
As: 0.9852 0.3750 0.2500
As: 0.1250 0.0148 0.7500
As: 0.6250 0.7352 0.7500
Au: 0.2500 0.7500 0.5000
Au: 0.0000 0.0000 0.0000
Ca: 0.7500 0.2500 0.5000
Ca: 0.5000 0.5000 0.0000

* energy of formation from the pure elements: -0.52 eV/atom

=====

Record 18
Density functional theory data (meta-GGA SCAN) for a crystal of Ca2AsAu2 relaxed with PBEsol.

a = 5.6276 Å, b = 5.6128 Å, c = 5.6276 Å
α = 120.09°, β = 90.00°, γ = 120.09°
Sites, in units of the cell vectors:
As: 0.0000 0.0000 0.0000
Au: 0.3377 0.6755 0.3377
Au: 0.6623 0.3245 0.6623
Ca: 0.2500 0.5000 0.7500
Ca: 0.7500 0.5000 0.2500

* energy of formation from the pure elements: -0.73 eV/atom

=====

Record 19
Density functional theory data (meta-GGA SCAN) for a crystal of CaAsAu2 relaxed with PBEsol.

a = 3.5853 Å, b = 3.8812 Å, c = 5.7041 Å
α = 90.00°, β = 90.00°, γ = 90.00°
Sites, in units of the cell vectors:
As: 0.5000 0.5000 0.5000
Au: 0.0000 0.0000 0.7466
Au: 0.0000 0.0000 0.2534
Ca: 0.5000 0.5000 0.0000

* energy of formation from the pure elements: -0.49 eV/atom

=====

Record 20
Density functional theory data (meta-GGA SCAN) for a crystal of CaAs2Au relaxed with PBEsol.

a = 4.0384 Å, b = 4.2765 Å, c = 5.3358 Å
α = 98.73°, β = 90.00°, γ = 90.00°
Sites, in units of the cell vectors:
As: 0.0000 0.1172 0.2311
As: 0.0000 0.8828 0.7689
Au: 0.5000 0.0000 0.5000
Ca: 0.5000 0.5000 0.0000

* energy of formation from the pure elements: -0.64 eV/atom

=====

Record 21
Density functional theory data (meta-GGA SCAN) for a crystal of CaAs2Au relaxed with PBEsol.

a = 4.5427 Å, b = 4.5427 Å, c = 5.4799 Å
α = 65.51°, β = 65.51°, γ = 60.00°
Sites, in units of the cell vectors:
As: 0.2128 0.2128 0.3617
As: 0.7872 0.7872 0.6383
Au: 0.5000 0.5000 0.5000
Ca: 0.0000 0.0000 0.0000

* energy of formation from the pure elements: -0.44 eV/atom

=====

Record 22
Density functional theory data (meta-GGA SCAN) for a crystal of CaAs2Au relaxed with PBEsol.

a = 3.7207 Å, b = 4.4994 Å, c = 5.5570 Å
α = 113.80°, β = 109.56°, γ = 90.00°
Sites, in units of the cell vectors:
As: 0.0247 0.0251 0.0494
As: 0.7456 0.2458 0.4912
Au: 0.4749 0.4742 0.9498
Ca: 0.2548 0.7549 0.5095

* energy of formation from the pure elements: -0.46 eV/atom

=====

Record 23
Density functional theory data (meta-GGA SCAN) for a crystal of Ca2ZnAsAu relaxed with PBEsol.

a = 4.5695 Å, b = 5.4219 Å, c = 5.4219 Å
α = 90.00°, β = 90.00°, γ = 90.00°
Sites, in units of the cell vectors:
As: 0.5000 0.5000 0.5000
Ca: 0.0000 0.0000 0.5000
Ca: 0.0000 0.5000 0.0000
Au: 0.5000 0.0000 0.0000
Zn: 0.0000 0.0000 0.0000

* energy of formation from the pure elements: -0.25 eV/atom

=====

Record 24
Density functional theory data (meta-GGA SCAN) for a crystal of CdAsAu3 relaxed with PBEsol.

a = 4.8575 Å, b = 4.8575 Å, c = 4.8575 Å
α = 90.00°, β = 90.00°, γ = 90.00°
Sites, in units of the cell vectors:
As: 0.0000 0.0000 0.0000
Au: 0.0000 0.5000 0.0000
Au: 0.0000 0.0000 0.5000
Au: 0.5000 0.0000 0.0000
Cd: 0.5000 0.5000 0.5000

* energy of formation from the pure elements: 0.27 eV/atom

=====

Record 25
Density functional theory data (meta-GGA SCAN) for a crystal of Cd2AsAu relaxed with PBEsol.

a = 3.1783 Å, b = 3.9956 Å, c = 6.0151 Å
α = 90.00°, β = 90.00°, γ = 90.00°
Sites, in units of the cell vectors:
As: 0.5000 0.5000 0.0000
Au: 0.5000 0.5000 0.5000
Cd: 0.0000 0.0000 0.7443
Cd: 0.0000 0.0000 0.2557

* energy of formation from the pure elements: 0.01 eV/atom

=====

Record 26
Density functional theory data (meta-GGA SCAN) for a crystal of AsAuCl2 relaxed with PBEsol.

a = 3.1744 Å, b = 4.5782 Å, c = 7.0433 Å
α = 108.97°, β = 103.02°, γ = 90.00°
Sites, in units of the cell vectors:
As: 0.5000 0.0000 0.0000
Au: 0.0000 0.5000 0.0000
Cl: 0.8444 0.8444 0.6888
Cl: 0.1556 0.1556 0.3112

* uncorrected formation energy: -0.0110 eV per atom
* ΔE to the lowest computed polymorph: 1.75 eV per formula unit

=====

Record 27
Density functional theory data (meta-GGA SCAN) for a crystal of AsAuCl2 relaxed with PBEsol.

a = 3.1377 Å, b = 5.3720 Å, c = 5.6649 Å
α = 118.30°, β = 106.08°, γ = 90.00°
Sites, in units of the cell vectors:
As: 0.5000 0.5000 0.0000
Au: 0.0000 0.0000 0.0000
Cl: 0.7493 0.7493 0.4986
Cl: 0.2507 0.2507 0.5014

* uncorrected formation energy: 0.0570 eV per atom
* ΔE to the lowest computed polymorph: 2.03 eV per formula unit

=====

Record 28
Density functional theory data (meta-GGA SCAN) for a crystal of As2AuCl relaxed with PBEsol.

a = 4.6824 Å, b = 4.6824 Å, c = 4.6824 Å
α = 60.00°, β = 60.00°, γ = 60.00°
Sites, in units of the cell vectors:
As: 0.0000 0.0000 0.0000
As: 0.2500 0.2500 0.2500
Au: 0.5000 0.5000 0.5000
Cl: 0.7500 0.7500 0.7500

* uncorrected formation energy: 0.4088 eV per atom

=====

Record 29
Density functional theory data (meta-GGA SCAN) for a crystal of AsAuCl2 relaxed with PBEsol.

a = 3.5457 Å, b = 4.1155 Å, c = 7.6584 Å
α = 101.02°, β = 90.00°, γ = 115.52°
Sites, in units of the cell vectors:
As: 0.4143 0.8285 0.4629
Au: 0.7378 0.4755 0.2748
Cl: 0.0795 0.1590 0.0749
Cl: 0.2685 0.5369 0.6873

* uncorrected formation energy: -0.4493 eV per atom
* ΔE to the lowest computed polymorph: 0.00 eV per formula unit

=====

In order of appearance, ρ = 5.8; 6.7; 5.1; 5.0; 8.1; 7.5; 5.8; 5.0; 5.9; 6.1; 6.7; 6.7; 4.7; 7.7; 7.3; 4.0; 6.8; 7.3; 10.6; 7.1; 7.5; 8.1; 5.2; 11.3; 10.8; 6.1; 7.1; 8.7; 5.8 g/cm³.
In order of appearance, volume = 25.81; 26.99; 29.43; 30.01; 19.93; 19.70; 25.42; 30.72; 31.30; 25.85; 25.27; 25.45; 36.53; 22.52; 25.26; 47.25; 23.65; 25.07; 19.84; 22.77; 21.50; 19.80; 26.87; 22.92; 19.10; 23.50; 19.95; 18.15; 24.64 Å³/atom.